Entry 1:
Crystalline NaHoAlTe3 at its relaxed geometry, computed with PBE-GGA.

Values from the calculation:
The uncorrected energy comes out at -3.993 eV/atom.

Lattice parameters (Å, degrees): 7.873 7.873 11.212 90.00 90.00 148.82
Atoms (fractional coordinates):
1 Na 0.236 0.764 0.750
2 Na 0.764 0.236 0.250
3 Ho 0.000 0.000 0.000
4 Ho 0.000 0.000 0.500
5 Al 0.471 0.529 0.250
6 Al 0.529 0.471 0.750
7 Te 0.089 0.911 0.250
8 Te 0.359 0.641 0.064
9 Te 0.359 0.641 0.436
10 Te 0.641 0.359 0.564
11 Te 0.641 0.359 0.936
12 Te 0.911 0.089 0.750

---

Entry 2:
Crystalline HoNbAl at its relaxed geometry, computed with PBE-GGA.

Values from the calculation:
Its offset from the most stable computed form is 0.3540 eV per atom.

Lattice parameters (Å, degrees): 4.843 4.843 4.843 60.00 60.00 60.00
Atoms (fractional coordinates):
1 Ho 0.000 0.000 0.000
2 Nb 0.750 0.750 0.750
3 Al 0.250 0.250 0.250

---

Entry 3:
Crystalline HoNbAl at its relaxed geometry, computed with PBE-GGA.

Values from the calculation:
Its offset from the most stable computed form is 0.0000 eV per atom.

Lattice parameters (Å, degrees): 4.754 4.754 4.754 60.00 60.00 60.00
Atoms (fractional coordinates):
1 Ho 0.000 0.000 0.000
2 Nb 0.750 0.750 0.750
3 Al 0.500 0.500 0.500

---

Entry 4:
Crystalline NdHoAl6 at its relaxed geometry, computed with PBE-GGA.

Values from the calculation:
The uncorrected energy comes out at -4.406 eV/atom.

Lattice parameters (Å, degrees): 6.386 6.386 4.604 90.00 90.00 120.00
Atoms (fractional coordinates):
1 Nd 0.000 0.000 0.000
2 Ho 0.333 0.667 0.500
3 Al 0.381 0.190 0.500
4 Al 0.520 0.040 0.000
5 Al 0.520 0.480 0.000
6 Al 0.810 0.190 0.500
7 Al 0.810 0.619 0.500
8 Al 0.960 0.480 0.000

---

Entry 5:
Crystalline NdHoAlNi2 at its relaxed geometry, computed with PBE-GGA.

Values from the calculation:
The uncorrected energy comes out at -5.338 eV/atom.

Lattice parameters (Å, degrees): 5.422 5.422 5.422 134.34 120.01 78.52
Atoms (fractional coordinates):
1 Nd 0.000 0.000 0.000
2 Ho 0.592 0.592 0.000
3 Al 0.296 0.796 0.500
4 Ni 0.030 0.296 0.734
5 Ni 0.562 0.296 0.266

---

Entry 6:
Crystalline NdHoAlOs2 at its relaxed geometry, computed with PBE-GGA.

Values from the calculation:
The uncorrected energy comes out at -7.440 eV/atom.

Lattice parameters (Å, degrees): 5.675 5.675 5.675 136.28 120.72 76.49
Atoms (fractional coordinates):
1 Nd 0.000 0.000 0.000
2 Ho 0.593 0.593 0.000
3 Al 0.297 0.797 0.500
4 Os 0.017 0.295 0.722
5 Os 0.573 0.295 0.278

---

Entry 7:
Crystalline NdHoAl2Pd4 at its relaxed geometry, computed with PBE-GGA.

Values from the calculation:
The uncorrected energy comes out at -5.608 eV/atom.

Lattice parameters (Å, degrees): 4.388 4.388 9.233 90.00 90.00 120.00
Atoms (fractional coordinates):
1 Nd 0.000 0.000 0.000
2 Ho 0.667 0.333 0.500
3 Al 0.333 0.667 0.256
4 Al 0.333 0.667 0.744
5 Pd 0.000 0.000 0.335
6 Pd 0.000 0.000 0.665
7 Pd 0.667 0.333 0.182
8 Pd 0.667 0.333 0.818

---

Entry 8:
Crystalline Nd2HoAl3Si2Pd at its relaxed geometry, computed with PBE-GGA.

Values from the calculation:
The uncorrected energy comes out at -5.344 eV/atom.

Lattice parameters (Å, degrees): 4.316 7.019 7.019 120.09 90.00 90.00
Atoms (fractional coordinates):
1 Nd 0.000 0.208 0.792
2 Nd 0.000 0.792 0.208
3 Ho 0.000 0.625 0.625
4 Al 0.500 0.214 0.447
5 Al 0.500 0.447 0.214
6 Al 0.500 0.971 0.971
7 Si 0.500 0.546 0.868
8 Si 0.500 0.868 0.546
9 Pd 0.000 0.219 0.219

---

Entry 9:
Crystalline NdHoAl2Pt4 at its relaxed geometry, computed with PBE-GGA.

Values from the calculation:
The uncorrected energy comes out at -6.282 eV/atom.

Lattice parameters (Å, degrees): 4.361 4.361 9.417 90.00 90.00 120.00
Atoms (fractional coordinates):
1 Nd 0.000 0.000 0.000
2 Ho 0.667 0.333 0.500
3 Al 0.333 0.667 0.256
4 Al 0.333 0.667 0.744
5 Pt 0.000 0.000 0.339
6 Pt 0.000 0.000 0.661
7 Pt 0.667 0.333 0.181
8 Pt 0.667 0.333 0.819

---

Entry 10:
Crystalline Nd2HoAl3Si2Pt at its relaxed geometry, computed with PBE-GGA.

Values from the calculation:
The uncorrected energy comes out at -5.520 eV/atom.

Lattice parameters (Å, degrees): 4.285 7.052 7.052 120.29 90.00 90.00
Atoms (fractional coordinates):
1 Nd 0.000 0.209 0.791
2 Nd 0.000 0.791 0.209
3 Ho 0.000 0.626 0.626
4 Al 0.500 0.215 0.445
5 Al 0.500 0.445 0.215
6 Al 0.500 0.973 0.973
7 Si 0.500 0.546 0.867
8 Si 0.500 0.867 0.546
9 Pt 0.000 0.218 0.218

---

Entry 11:
Crystalline Nd2HoAl3Sn2Pt at its relaxed geometry, computed with PBE-GGA.

Values from the calculation:
The uncorrected energy comes out at -5.146 eV/atom.

Lattice parameters (Å, degrees): 4.408 7.365 7.365 119.83 90.00 90.00
Atoms (fractional coordinates):
1 Nd 0.000 0.200 0.800
2 Nd 0.000 0.800 0.200
3 Ho 0.000 0.402 0.402
4 Al 0.500 0.017 0.017
5 Al 0.500 0.577 0.798
6 Al 0.500 0.798 0.577
7 Sn 0.500 0.140 0.462
8 Sn 0.500 0.462 0.140
9 Pt 0.000 0.788 0.788

---

Entry 12:
Crystalline NdHo2Al3Sn2Pt at its relaxed geometry, computed with PBE-GGA.

Values from the calculation:
The uncorrected energy comes out at -5.130 eV/atom.

Lattice parameters (Å, degrees): 4.370 7.308 7.308 120.24 90.00 90.00
Atoms (fractional coordinates):
1 Nd 0.000 0.000 0.000
2 Ho 0.000 0.400 0.800
3 Ho 0.000 0.800 0.400
4 Al 0.500 0.181 0.401
5 Al 0.500 0.401 0.181
6 Al 0.500 0.628 0.628
7 Sn 0.500 0.071 0.728
8 Sn 0.500 0.728 0.071
9 Pt 0.000 0.415 0.415

---

Entry 13:
Crystalline HoAl2Ni at its relaxed geometry, computed with PBE-GGA.

Values from the calculation:
The uncorrected energy comes out at -5.056 eV/atom.

Lattice parameters (Å, degrees): 5.454 5.454 6.877 90.00 90.00 136.40
Atoms (fractional coordinates):
1 Ho 0.061 0.939 0.750
2 Ho 0.939 0.061 0.250
3 Al 0.344 0.656 0.554
4 Al 0.344 0.656 0.946
5 Al 0.656 0.344 0.054
6 Al 0.656 0.344 0.446
7 Ni 0.216 0.784 0.250
8 Ni 0.784 0.216 0.750

---

Entry 14:
Crystalline HoAl3Ni2 at its relaxed geometry, computed with PBE-GGA.

Values from the calculation:
The uncorrected energy comes out at -5.156 eV/atom.

Lattice parameters (Å, degrees): 8.985 8.985 4.065 90.00 90.00 120.00
Atoms (fractional coordinates):
1 Ho 0.000 0.000 0.000
2 Ho 0.333 0.667 0.500
3 Ho 0.667 0.333 0.500
4 Al 0.000 0.297 0.500
5 Al 0.000 0.500 0.000
6 Al 0.000 0.703 0.500
7 Al 0.297 0.000 0.500
8 Al 0.297 0.297 0.500
9 Al 0.500 0.000 0.000
10 Al 0.500 0.500 0.000
11 Al 0.703 0.000 0.500
12 Al 0.703 0.703 0.500
13 Ni 0.182 0.365 0.000
14 Ni 0.182 0.818 0.000
15 Ni 0.365 0.182 0.000
16 Ni 0.635 0.818 0.000
17 Ni 0.818 0.182 0.000
18 Ni 0.818 0.635 0.000

---

Entry 15:
Crystalline HoAl3Ni2 at its relaxed geometry, computed with PBE-GGA.

Values from the calculation:
The uncorrected energy comes out at -5.133 eV/atom.

Lattice parameters (Å, degrees): 5.226 5.226 4.003 90.00 90.00 120.00
Atoms (fractional coordinates):
1 Ho 0.000 0.000 0.000
2 Al 0.000 0.500 0.500
3 Al 0.500 0.000 0.500
4 Al 0.500 0.500 0.500
5 Ni 0.333 0.667 0.000
6 Ni 0.667 0.333 0.000

---

Entry 16:
Crystalline HoAl3Ni2 at its relaxed geometry, computed with PBE-GGA.

Values from the calculation:
The uncorrected energy comes out at -5.156 eV/atom.

Lattice parameters (Å, degrees): 8.979 8.979 4.067 90.00 90.00 120.00
Atoms (fractional coordinates):
1 Ho 0.000 0.000 0.000
2 Ho 0.333 0.667 0.500
3 Ho 0.667 0.333 0.500
4 Al 0.000 0.297 0.500
5 Al 0.000 0.500 0.000
6 Al 0.000 0.703 0.500
7 Al 0.297 0.000 0.500
8 Al 0.297 0.297 0.500
9 Al 0.500 0.000 0.000
10 Al 0.500 0.500 0.000
11 Al 0.703 0.000 0.500
12 Al 0.703 0.703 0.500
13 Ni 0.182 0.364 0.000
14 Ni 0.182 0.818 0.000
15 Ni 0.364 0.182 0.000
16 Ni 0.636 0.818 0.000
17 Ni 0.818 0.182 0.000
18 Ni 0.818 0.636 0.000

---

Entry 17:
Crystalline Ho3Al2Ni6 at its relaxed geometry, computed with PBE-GGA.

Values from the calculation:
The uncorrected energy comes out at -5.549 eV/atom.

Lattice parameters (Å, degrees): 7.687 7.687 7.687 109.47 109.47 109.47
Atoms (fractional coordinates):
1 Ho 0.000 0.293 0.293
2 Ho 0.000 0.707 0.707
3 Ho 0.293 0.000 0.293
4 Ho 0.293 0.293 0.000
5 Ho 0.707 0.000 0.707
6 Ho 0.707 0.707 0.000
7 Al 0.000 0.000 0.500
8 Al 0.000 0.500 0.000
9 Al 0.500 0.000 0.000
10 Al 0.500 0.500 0.500
11 Ni 0.000 0.335 0.665
12 Ni 0.000 0.665 0.335
13 Ni 0.331 0.665 0.665
14 Ni 0.335 0.000 0.665
15 Ni 0.335 0.335 0.669
16 Ni 0.335 0.665 0.000
17 Ni 0.335 0.669 0.335
18 Ni 0.665 0.000 0.335
19 Ni 0.665 0.331 0.665
20 Ni 0.665 0.335 0.000
21 Ni 0.665 0.665 0.331
22 Ni 0.669 0.335 0.335

---

Entry 18:
Crystalline HoAl3Ni2 at its relaxed geometry, computed with PBE-GGA.

Values from the calculation:
The uncorrected energy comes out at -5.156 eV/atom.

Lattice parameters (Å, degrees): 8.981 8.981 4.067 90.00 90.00 120.00
Atoms (fractional coordinates):
1 Ho 0.000 0.000 0.000
2 Ho 0.333 0.667 0.500
3 Ho 0.667 0.333 0.500
4 Al 0.000 0.298 0.500
5 Al 0.000 0.500 0.000
6 Al 0.000 0.702 0.500
7 Al 0.298 0.000 0.500
8 Al 0.298 0.298 0.500
9 Al 0.500 0.000 0.000
10 Al 0.500 0.500 0.000
11 Al 0.702 0.000 0.500
12 Al 0.702 0.702 0.500
13 Ni 0.182 0.363 0.000
14 Ni 0.182 0.818 0.000
15 Ni 0.363 0.182 0.000
16 Ni 0.637 0.818 0.000
17 Ni 0.818 0.182 0.000
18 Ni 0.818 0.637 0.000

---

Entry 19:
Crystalline Ho2AlNiOs at its relaxed geometry, computed with PBE-GGA.

Values from the calculation:
The uncorrected energy comes out at -6.446 eV/atom.

Lattice parameters (Å, degrees): 5.469 5.469 5.469 136.07 78.58 118.54
Atoms (fractional coordinates):
1 Ho 0.202 0.000 0.202
2 Ho 0.798 0.000 0.798
3 Al 0.491 0.491 0.000
4 Ni 0.752 0.252 0.500
5 Os 0.214 0.714 0.500

---

Entry 20:
Crystalline PrHoAl4Ni2 at its relaxed geometry, computed with PBE-GGA.

Values from the calculation:
The uncorrected energy comes out at -5.033 eV/atom.

Lattice parameters (Å, degrees): 6.920 5.629 5.629 42.30 90.00 90.00
Atoms (fractional coordinates):
1 Pr 0.000 0.000 0.000
2 Ho 0.500 0.886 0.886
3 Al 0.198 0.281 0.281
4 Al 0.309 0.607 0.607
5 Al 0.691 0.607 0.607
6 Al 0.802 0.281 0.281
7 Ni 0.000 0.724 0.724
8 Ni 0.500 0.159 0.159

---

Entry 21:
Crystalline PrHoAlNi2 at its relaxed geometry, computed with PBE-GGA.

Values from the calculation:
The uncorrected energy comes out at -5.325 eV/atom.

Lattice parameters (Å, degrees): 5.446 5.446 5.446 134.30 120.00 78.55
Atoms (fractional coordinates):
1 Pr 0.000 0.000 0.000
2 Ho 0.592 0.592 0.000
3 Al 0.296 0.796 0.500
4 Ni 0.029 0.296 0.734
5 Ni 0.562 0.296 0.266

---

Entry 22:
Crystalline HoScAl2Ni4 at its relaxed geometry, computed with PBE-GGA.

Values from the calculation:
The uncorrected energy comes out at -5.682 eV/atom.

Lattice parameters (Å, degrees): 4.114 4.114 8.417 90.00 90.00 120.00
Atoms (fractional coordinates):
1 Ho 0.000 0.000 0.000
2 Sc 0.667 0.333 0.500
3 Al 0.333 0.667 0.264
4 Al 0.333 0.667 0.736
5 Ni 0.000 0.000 0.336
6 Ni 0.000 0.000 0.664
7 Ni 0.667 0.333 0.188
8 Ni 0.667 0.333 0.812

---

Entry 23:
Crystalline HoScAlNi2 at its relaxed geometry, computed with PBE-GGA.

Values from the calculation:
The uncorrected energy comes out at -5.728 eV/atom.

Lattice parameters (Å, degrees): 5.210 5.210 5.210 133.44 119.25 79.85
Atoms (fractional coordinates):
1 Ho 0.000 0.000 0.000
2 Sc 0.594 0.594 0.000
3 Al 0.298 0.798 0.500
4 Ni 0.029 0.297 0.732
5 Ni 0.565 0.297 0.268